Tl4CoCl, optimized geometry, DFT PBE; space-group type = No. 216; total DFT energy (no corrections) = -15.5 eV per cell; density of states at the Fermi level = 1.16 states/eV per atom
1.0
0.000 4.495 4.495
4.495 0.000 4.495
4.495 4.495 0.000
Tl Co Cl
4 1 1
Direct
0.125 0.125 0.125
0.125 0.125 0.624
0.125 0.624 0.125
0.624 0.125 0.125
0.500 0.500 0.500
0.750 0.750 0.750

Tl2CoCl, optimized geometry, DFT PBE; space-group type = No. 10; total DFT energy (no corrections) = -13.2 eV per cell; density of states at the Fermi level = 0.51 states/eV per atom
1.0
3.391 0.000 0.000
0.000 3.375 0.000
-0.058 0.000 7.987
Tl Co Cl
2 1 1
Direct
0.004 0.000 0.199
0.996 0.000 0.801
0.500 0.500 0.000
0.000 0.500 0.500

Q: Among the records above, which one has the lowest total DFT energy (no corrections)?
A: Tl4CoCl

Q: Which formula does entry 1 have?
A: Tl4CoCl